Entry 1:
# PBE Cs3CeAu2I9, relaxed
data_Cs3CeAu2I9
_chemical_formula_sum 'Cs3 Ce1 Au2 I9'
_cell_length_a 8.5959
_cell_length_b 8.5959
_cell_length_c 10.5457
_cell_angle_alpha 90.00
_cell_angle_beta 90.00
_cell_angle_gamma 120.00
_symmetry_space_group_name_H-M 'P -3 m 1'
_symmetry_Int_Tables_number 164
_symmetry_space_group_name_Hall '-P 3 2"'
loop_
_atom_site_label
_atom_site_type_symbol
_atom_site_fract_x
_atom_site_fract_y
_atom_site_fract_z
Cs1 Cs 0.0000 0.0000 0.0000
Cs2 Cs 0.3333 0.6667 0.6887
Ce1 Ce 0.0000 0.0000 0.5000
Au1 Au 0.3333 0.6667 0.1343
I1 I 0.0000 0.5000 0.0000
I2 I 0.1690 0.3379 0.3329
# uncorrected formation energy: -0.9795 eV per atom
# DFT total energy: -2.913 eV per atom

Entry 2:
# PBE Cs3CeAu2O6, relaxed
data_Cs3CeAu2O6
_chemical_formula_sum 'Cs3 Ce1 Au2 O6'
_cell_length_a 6.5798
_cell_length_b 6.5798
_cell_length_c 7.9033
_cell_angle_alpha 90.00
_cell_angle_beta 90.00
_cell_angle_gamma 120.00
_symmetry_space_group_name_H-M 'P -3 m 1'
_symmetry_Int_Tables_number 164
_symmetry_space_group_name_Hall '-P 3 2"'
loop_
_atom_site_label
_atom_site_type_symbol
_atom_site_fract_x
_atom_site_fract_y
_atom_site_fract_z
Cs1 Cs 0.0000 0.0000 0.0000
Cs2 Cs 0.3333 0.6667 0.7431
Ce1 Ce 0.0000 0.0000 0.5000
Au1 Au 0.3333 0.6667 0.3092
O1 O 0.1535 0.3069 0.3179
# uncorrected formation energy: -1.2541 eV per atom
# DFT total energy: -4.987 eV per atom

Entry 3:
# PBE CsCe4Au3S12, relaxed
data_CsCe4Au3S12
_chemical_formula_sum 'Cs2 Ce8 Au6 S24'
_cell_length_a 10.083
_cell_length_b 10.083
_cell_length_c 10.083
_cell_angle_alpha 90.00
_cell_angle_beta 90.00
_cell_angle_gamma 90.00
_symmetry_space_group_name_H-M 'I m -3'
_symmetry_Int_Tables_number 204
_symmetry_space_group_name_Hall '-I 2 2 3'
loop_
_atom_site_label
_atom_site_type_symbol
_atom_site_fract_x
_atom_site_fract_y
_atom_site_fract_z
Cs1 Cs 0.000 0.000 0.000
Ce1 Ce 0.250 0.250 0.250
Au1 Au 0.000 0.000 0.500
S1 S 0.000 0.324 0.164
# uncorrected formation energy: -1.0362 eV per atom
# DFT total energy: -5.234 eV per atom

Entry 4:
# PBE Cs2CeAu2S4, relaxed
data_Cs2CeAu2S4
_chemical_formula_sum 'Cs4 Ce2 Au4 S8'
_cell_length_a 18.027
_cell_length_b 4.312
_cell_length_c 7.827
_cell_angle_alpha 90.00
_cell_angle_beta 113.84
_cell_angle_gamma 90.00
_symmetry_space_group_name_H-M 'C 1 2/m 1'
_symmetry_Int_Tables_number 12
loop_
_symmetry_equiv_pos_as_xyz
'x,y,z'
'-x,-y,-z'
'-x,y,-z'
'x,-y,z'
'x+1/2,y+1/2,z'
'-x+1/2,-y+1/2,-z'
'-x+1/2,y+1/2,-z'
'x+1/2,-y+1/2,z'
loop_
_atom_site_label
_atom_site_type_symbol
_atom_site_fract_x
_atom_site_fract_y
_atom_site_fract_z
Cs1 Cs 0.141 0.000 0.119
Ce1 Ce 0.000 0.000 0.500
Au1 Au 0.142 0.500 0.548
S1 S 0.003 0.500 0.272
S2 S 0.175 0.000 0.690
# uncorrected formation energy: -1.0554 eV per atom
# DFT total energy: -4.467 eV per atom

Entry 5:
# PBE Cs2CeAuS4, relaxed
data_Cs2CeAuS4
_chemical_formula_sum 'Cs4 Ce2 Au2 S8'
_cell_length_a 7.871
_cell_length_b 7.871
_cell_length_c 8.735
_cell_angle_alpha 90.00
_cell_angle_beta 90.00
_cell_angle_gamma 90.00
_symmetry_space_group_name_H-M 'I -4'
_symmetry_Int_Tables_number 82
loop_
_symmetry_equiv_pos_as_xyz
'x,y,z'
'y,-x,-z'
'-x,-y,z'
'-y,x,-z'
'x+1/2,y+1/2,z+1/2'
'y+1/2,-x+1/2,-z+1/2'
'-x+1/2,-y+1/2,z+1/2'
'-y+1/2,x+1/2,-z+1/2'
loop_
_atom_site_label
_atom_site_type_symbol
_atom_site_fract_x
_atom_site_fract_y
_atom_site_fract_z
Cs1 Cs 0.000 0.000 0.000
Cs2 Cs 0.000 0.500 0.250
Ce1 Ce 0.000 0.000 0.500
Au1 Au 0.000 0.500 0.750
S1 S 0.144 0.761 0.664
# uncorrected formation energy: -0.9919 eV per atom
# DFT total energy: -4.420 eV per atom

Entry 6:
# PBE CsCe2Au2S6, relaxed
data_CsCe2Au2S6
_chemical_formula_sum 'Cs1 Ce2 Au2 S6'
_cell_length_a 7.467
_cell_length_b 7.483
_cell_length_c 7.829
_cell_angle_alpha 118.20
_cell_angle_beta 93.37
_cell_angle_gamma 114.60
_symmetry_space_group_name_H-M 'P -1'
_symmetry_Int_Tables_number 2
loop_
_symmetry_equiv_pos_as_xyz
'x,y,z'
'-x,-y,-z'
loop_
_atom_site_label
_atom_site_type_symbol
_atom_site_fract_x
_atom_site_fract_y
_atom_site_fract_z
Cs1 Cs 0.000 0.000 0.000
Ce1 Ce 0.013 0.347 0.672
Au1 Au 0.449 0.953 0.698
S1 S 0.213 0.100 0.645
S2 S 0.233 0.707 0.078
S3 S 0.240 0.541 0.476
# uncorrected formation energy: -1.0560 eV per atom
# DFT total energy: -5.060 eV per atom

no.,size of the total moment (μB/cell)
1,0.433
2,2.530
3,3.969
4,0.249
5,0.002
6,0.000